# Sr2SbTe

A relaxed Sr2SbTe crystal (PBE-GGA, the Alexandria database).

abc: 5.740 5.740 5.740
angles: 60.00 60.00 60.00
Atoms (fractional coordinates):
Sr 0.000 0.000 0.000
Te 0.750 0.750 0.750
Sr 0.250 0.250 0.250
Sb 0.500 0.500 0.500

## Properties
size of the total moment	0.00	μB/f.u.
theoretical density	5.27	Mg/m³
raw formation energy	-0.501	eV per atom